1.
ScGa3Co: optimized geometry, GGA-PBE.

Cell and atoms, written as extended XYZ:
```
20
Lattice="-4.8717 -2.4268 -0.0333 1.5804 -3.2554 6.0415 -3.4219 6.8205 3.5588" Properties=species:S:1:pos:R:3 pbc="T T T"
Sc -0.5564 -0.4452 6.2070
Sc -6.1567 1.5835 3.3600
Sc -4.1097 0.5819 6.3893
Sc -2.6035 0.5564 3.1777
Ga -6.3193 2.3993 6.1535
Ga -0.3938 -1.2610 3.4135
Ga -0.4393 -3.3050 6.4286
Ga -6.2738 4.4433 3.1384
Ga -2.7595 -2.2374 4.5057
Ga -3.9537 3.3757 5.0613
Ga -2.0141 2.3206 8.0900
Ga -4.6991 -1.1823 1.4770
Ga -4.8781 -0.9296 3.9731
Ga -1.8351 2.0679 5.5939
Ga -3.8326 3.0942 2.5648
Ga -2.8806 -1.9559 7.0022
Co -2.3660 -1.9454 2.0276
Co -4.3471 3.0837 7.5394
Co -3.1515 5.7006 4.5322
Co -3.5616 -4.5623 5.0348
```

Properties
* offset from the most stable computed form: 0.0 meV per atom
* space group: P2_1/c, No. 14
* formation energy: -353 meV per atom

---

2.
K3SnHg7: optimized geometry, GGA-PBE.

Cell and atoms, written as extended XYZ:
```
22
Lattice="4.4962 0.0000 0.0000 -2.2481 12.0176 0.0000 0.0000 0.0000 14.0642" Properties=species:S:1:pos:R:3 pbc="T T T"
K 0.0000 2.3043 6.4389
K 2.2481 9.7133 7.6253
K 0.0000 5.6961 10.5481
K 2.2481 6.3215 3.5160
K 0.0000 2.3043 0.5932
K 2.2481 9.7133 13.4710
Sn 2.2481 11.1348 3.5160
Sn 0.0000 0.8827 10.5481
Hg 0.0000 9.5216 10.5481
Hg 2.2481 2.4959 3.5160
Hg 0.0000 11.8331 5.4960
Hg 2.2481 0.1844 8.5682
Hg 2.2481 0.1844 12.5281
Hg 0.0000 11.8331 1.5361
Hg 0.0000 8.8335 4.9591
Hg 2.2481 3.1841 9.1051
Hg 0.0000 6.9571 7.2557
Hg 2.2481 5.0605 6.8084
Hg 2.2481 5.0605 0.2236
Hg 0.0000 6.9571 13.8405
Hg 0.0000 8.8335 2.0730
Hg 2.2481 3.1841 11.9911
```

Properties
* space group: Cmcm, No. 63
* formation energy: -174 meV per atom

---

3.
LaV3Cd: optimized geometry, GGA-PBE.

Cell and atoms, written as extended XYZ:
```
5
Lattice="-1.6515 -3.1036 -2.9506 3.2061 1.2004 -3.0571 2.8389 -3.1611 1.7360" Properties=species:S:1:pos:R:3 pbc="T T T"
Cd 2.1968 -2.5321 -2.1359
La 0.0000 0.0000 0.0000
V 1.6030 0.6002 -1.5285
V 1.4195 -1.5805 0.8680
V -0.8257 -1.5518 -1.4753
```

Properties
* offset from the most stable computed form: 243.0 meV per atom
* space group: Pm-3m, No. 221
* formation energy: 1517 meV per atom